Material: LiMnPtPb
Method: DFT, GGA-PBE
State: optimized geometry

Cell: 4.6016 4.6016 4.6016 Å, 60.00 60.00 60.00°
Positions (direct):
Pt1 0.5000 0.5000 0.5000
Mn1 0.2500 0.2500 0.2500
Li1 0.0000 0.0000 0.0000
Pb1 0.7500 0.7500 0.7500

Values from the calculation:
- calculated volume (A^3/atom) = 17.22
- raw total energy (eV per atom) = -5.443
- theoretical density (Mg/m³) = 11.2
- spin magnetization (μB per cell) = 4.1
- energy of formation from the pure elements (eV per atom) = -0.23



Material: ScBeCd
Method: DFT, GGA-PBE
State: optimized geometry

Cell: 3.2863 3.2863 6.1313 Å, 90.00 90.00 120.00°
Positions (direct):
Be1 0.0000 0.0000 0.0040
Sc1 0.3333 0.6667 0.7021
Cd1 0.6667 0.3333 0.2939

Values from the calculation:
- calculated volume (A^3/atom) = 19.12
- raw total energy (eV per atom) = -3.415
- theoretical density (Mg/m³) = 4.8
- spin magnetization (μB per cell) = 0.0
- energy of formation from the pure elements (eV per atom) = 0.24



Material: CrNi2PdN
Method: DFT, GGA-PBE
State: optimized geometry

Cell: 3.8334 3.8334 3.8485 Å, 90.00 90.00 90.00°
Positions (direct):
Cr1 0.0000 0.0000 0.5000
N1 0.0000 0.0000 0.0000
Ni1 0.0000 0.5000 0.0000
Pd1 0.5000 0.5000 0.5000
Ni2 0.5000 0.0000 0.0000

Values from the calculation:
- calculated volume (A^3/atom) = 11.31
- formation energy from raw total energies (eV per atom) = -0.11
- raw total energy (eV per atom) = -7.048
- theoretical density (Mg/m³) = 8.5
- spin magnetization (μB per cell) = 2.6



Among the records above, which one has the lowest raw total energy? CrNi2PdN



Number 2 is which compound? ScBeCd